28
Lattice="-6.759 3.614 1.010 3.524 -3.827 5.718 7.854 6.744 -0.156" Properties=species:S:1:pos:R:3 comment="Y2Zn9Pt3 (GGA-PBE, optimized geometry)" ef_mev_per_atom=-552 pbc="T T T"
Y 4.472 5.454 1.696
Y 0.147 1.077 4.876
Y 1.184 6.288 4.287
Y 3.435 0.243 2.286
Zn 5.910 3.169 5.722
Zn -1.291 3.363 0.850
Zn 3.845 4.785 4.781
Zn 0.774 1.746 1.792
Zn 6.364 5.222 4.076
Zn -1.744 1.309 2.497
Zn 4.898 2.831 3.295
Zn -0.279 3.701 3.277
Zn 0.346 7.737 1.629
Zn 4.273 -1.206 4.944
Zn 10.066 3.097 5.614
Zn -5.447 3.434 0.959
Zn 1.332 4.965 1.473
Zn 3.287 1.567 5.099
Zn 1.663 3.682 5.793
Zn 2.956 2.850 0.779
Zn 2.933 7.991 2.395
Zn 1.686 -1.460 4.178
Pt -3.379 1.807 0.505
Pt 2.310 3.266 3.286
Pt -1.297 5.732 1.902
Pt 5.916 0.799 4.671
Pt 0.015 -0.673 2.330
Pt 4.604 7.205 4.243